Material: CuRuBr2O
Method: DFT, PBE
State: relaxed

Structure (CIF):
```
data_CuRuBr2O
_symmetry_space_group_name_H-M 'P 4/m m m'
_symmetry_Int_Tables_number 123
_symmetry_space_group_name_Hall '-P 4 2'
_cell_length_a 5.560
_cell_length_b 5.560
_cell_length_c 3.563
_cell_angle_alpha 90.00
_cell_angle_beta 90.00
_cell_angle_gamma 90.00
loop_
_atom_site_label
_atom_site_type_symbol
_atom_site_fract_x
_atom_site_fract_y
_atom_site_fract_z
Cu1 Cu 0.000 0.000 0.000
Ru1 Ru 0.500 0.500 0.000
Br1 Br 0.000 0.500 0.500
O1 O 0.500 0.500 0.500
```

Computed properties:
Final energy   -3.8349 eV/atom
Raw formation energy   0.500 eV per atom
DOS at the Fermi energy   0.64 states/eV per atom

Material: CuS2BrO8
Method: DFT, PBE
State: relaxed

Structure (CIF):
```
data_CuS2BrO8
_symmetry_space_group_name_H-M 'C 1 2/m 1'
_symmetry_Int_Tables_number 12
_cell_length_a 9.635
_cell_length_b 5.075
_cell_length_c 8.813
_cell_angle_alpha 90.00
_cell_angle_beta 114.12
_cell_angle_gamma 90.00
loop_
_symmetry_equiv_pos_as_xyz
'x,y,z'
'-x,-y,-z'
'-x,y,-z'
'x,-y,z'
'x+1/2,y+1/2,z'
'-x+1/2,-y+1/2,-z'
'-x+1/2,y+1/2,-z'
'x+1/2,-y+1/2,z'
loop_
_atom_site_label
_atom_site_type_symbol
_atom_site_fract_x
_atom_site_fract_y
_atom_site_fract_z
Cu1 Cu 0.000 0.000 0.000
S1 S 0.181 0.500 0.196
Br1 Br 0.000 0.000 0.500
O1 O 0.083 0.260 0.172
O2 O 0.225 0.000 0.895
O3 O 0.230 0.000 0.612
```

Computed properties:
Final energy   -5.3210 eV/atom
Raw formation energy   -0.847 eV per atom
DOS at the Fermi energy   0.35 states/eV per atom